No. 1
Here is a relaxed structure of SbPd2Pb from Alexandria. Energies are from PBE.

```
SbPd2Pb
1.0
-2.312 2.312 8.688
2.312 -2.312 8.688
2.312 2.312 -8.688
Sb Pd Pb
2 4 2
direct
0.000 0.000 0.000
0.750 0.250 0.500
0.088 0.625 0.963
0.375 0.338 0.463
0.662 0.125 0.037
0.875 0.912 0.537
0.250 0.750 0.500
0.500 0.500 0.000
```

Output
For the total moment, the calculation gives 0.00 μB per cell. The calculation puts the raw total energy at -4.6922 eV per atom.


No. 2
Here is a relaxed structure of SbPd2Pb from Alexandria. Energies are from PBE.

```
SbPd2Pb
1.0
3.412 0.000 0.000
0.000 3.412 0.000
0.000 0.000 7.133
Sb Pd Pb
1 2 1
direct
0.000 0.000 0.000
0.500 0.500 0.213
0.500 0.500 0.787
0.000 0.000 0.500
```

Output
For the total moment, the calculation gives 0.00 μB per cell. The calculation puts the raw total energy at -4.8053 eV per atom.


No. 3
Here is a relaxed structure of SbPd6Pb from Alexandria. Energies are from PBE.

```
SbPd6Pb
1.0
3.831 -2.763 0.000
3.831 2.763 0.000
-2.174 0.000 7.187
Sb Pd Pb
1 6 1
direct
0.000 0.000 0.000
0.043 0.560 0.194
0.135 0.135 0.426
0.440 0.957 0.806
0.560 0.043 0.194
0.865 0.865 0.574
0.957 0.440 0.806
0.500 0.500 0.500
```

Output
For the total moment, the calculation gives 0.00 μB per cell. Its energy above the most stable polymorph in this dataset is 0.132 eV per atom. The calculation puts the raw total energy at -5.0469 eV per atom.


No. 4
Here is a relaxed structure of Sb2Pd3Pb2 from Alexandria. Energies are from PBE.

```
Sb2Pd3Pb2
1.0
3.823 0.000 0.000
-1.903 6.649 0.000
-1.901 -2.207 6.294
Sb Pd Pb
2 3 2
direct
0.118 0.461 0.275
0.882 0.539 0.725
0.145 0.234 0.554
0.500 0.500 0.000
0.855 0.766 0.446
0.350 0.969 0.227
0.650 0.031 0.773
```

Output
For the total moment, the calculation gives 0.00 μB per cell. The calculation puts the raw total energy at -4.7871 eV per atom.


No. 5
Here is a relaxed structure of Sb2PdPb2 from Alexandria. Energies are from PBE.

```
Sb2PdPb2
1.0
-3.116 7.230 2.966
3.116 -7.230 2.966
3.116 7.230 -2.966
Sb Pd Pb
4 2 4
direct
0.079 0.175 0.255
0.421 0.675 0.096
0.579 0.325 0.904
0.921 0.825 0.745
0.250 0.750 0.500
0.750 0.250 0.500
0.176 0.679 0.855
0.324 0.179 0.503
0.676 0.821 0.497
0.824 0.321 0.145
```

Output
For the total moment, the calculation gives 0.00 μB per cell. Its energy above the most stable polymorph in this dataset is 0.000 eV per atom. The calculation puts the raw total energy at -4.3037 eV per atom.


No. 6
Here is a relaxed structure of Sb2Pd5Pb2 from Alexandria. Energies are from PBE.

```
Sb2Pd5Pb2
1.0
6.649 -2.415 0.000
6.649 2.415 0.000
-3.987 0.000 6.307
Sb Pd Pb
2 5 2
direct
0.153 0.153 0.346
0.847 0.847 0.654
0.000 0.000 0.500
0.087 0.087 0.942
0.404 0.404 0.581
0.596 0.596 0.419
0.913 0.913 0.058
0.346 0.346 0.160
0.654 0.654 0.840
```

Output
For the total moment, the calculation gives 0.00 μB per cell. Its energy above the most stable polymorph in this dataset is 0.066 eV per atom. The calculation puts the raw total energy at -4.8911 eV per atom.


No. 7
Here is a relaxed structure of SbPd2Pb from Alexandria. Energies are from PBE.

```
SbPd2Pb
1.0
2.158 1.246 5.582
-2.158 1.246 5.582
0.000 -2.492 5.582
Sb Pd Pb
1 2 1
direct
0.000 0.000 0.000
0.395 0.395 0.395
0.592 0.592 0.592
0.816 0.816 0.816
```

Output
For the total moment, the calculation gives 0.00 μB per cell. The calculation puts the raw total energy at -4.7573 eV per atom.


No. 8
Here is a relaxed structure of SbPd2Pb from Alexandria. Energies are from PBE.

```
SbPd2Pb
1.0
1.950 1.126 6.800
-1.950 1.126 6.800
0.000 -2.252 6.800
Sb Pd Pb
1 2 1
direct
0.000 0.000 0.000
0.259 0.259 0.259
0.741 0.741 0.741
0.500 0.500 0.500
```

Output
For the total moment, the calculation gives 0.00 μB per cell. The calculation puts the raw total energy at -4.7262 eV per atom.


No. 9
Here is a relaxed structure of Sb2Pd5Pb2 from Alexandria. Energies are from PBE.

```
Sb2Pd5Pb2
1.0
6.738 -2.104 0.000
6.738 2.104 0.000
-0.471 0.000 6.695
Sb Pd Pb
2 5 2
direct
0.024 0.024 0.236
0.976 0.976 0.764
0.163 0.163 0.953
0.343 0.343 0.749
0.500 0.500 0.500
0.657 0.657 0.251
0.837 0.837 0.047
0.303 0.303 0.311
0.697 0.697 0.689
```

Output
For the total moment, the calculation gives 0.00 μB per cell. Its energy above the most stable polymorph in this dataset is 0.000 eV per atom. The calculation puts the raw total energy at -4.9571 eV per atom.


No. 10
Here is a relaxed structure of Sb2PdPb2 from Alexandria. Energies are from PBE.

```
Sb2PdPb2
1.0
7.467 0.000 0.000
0.000 7.467 0.000
0.000 0.000 5.226
Sb Pd Pb
4 2 4
direct
0.134 0.366 0.000
0.366 0.866 0.000
0.634 0.134 0.000
0.866 0.634 0.000
0.000 0.000 0.500
0.500 0.500 0.500
0.171 0.671 0.500
0.329 0.171 0.500
0.671 0.829 0.500
0.829 0.329 0.500
```

Output
For the total moment, the calculation gives 0.00 μB per cell. Its energy above the most stable polymorph in this dataset is 0.281 eV per atom. The calculation puts the raw total energy at -4.0231 eV per atom.


No. 11
Here is a relaxed structure of Sb2Pd12Pb5 from Alexandria. Energies are from PBE.

```
Sb2Pd12Pb5
1.0
7.805 -3.907 0.000
7.805 3.907 0.000
-2.576 0.000 6.185
Sb Pd Pb
2 12 5
direct
0.216 0.784 0.000
0.784 0.216 0.000
0.039 0.039 0.731
0.083 0.679 0.555
0.170 0.549 0.128
0.321 0.917 0.445
0.407 0.407 0.813
0.451 0.830 0.872
0.549 0.170 0.128
0.593 0.593 0.187
0.679 0.083 0.555
0.830 0.451 0.872
0.917 0.321 0.445
0.961 0.961 0.269
0.225 0.225 0.807
0.256 0.256 0.348
0.500 0.500 0.500
0.744 0.744 0.652
0.775 0.775 0.193
```

Output
For the total moment, the calculation gives 0.00 μB per cell. The calculation puts the raw total energy at -4.9462 eV per atom.


No. 12
Here is a relaxed structure of Sb2Pd8Pb from Alexandria. Energies are from PBE.

```
Sb2Pd8Pb
1.0
4.958 0.000 0.000
-0.666 5.721 0.000
-2.113 -2.603 6.871
Sb Pd Pb
2 8 1
direct
0.211 0.142 0.318
0.789 0.858 0.682
0.136 0.630 0.245
0.226 0.873 0.971
0.293 0.050 0.649
0.302 0.550 0.620
0.698 0.450 0.380
0.707 0.950 0.351
0.774 0.127 0.029
0.864 0.370 0.755
0.500 0.500 0.000
```

Output
For the total moment, the calculation gives 0.00 μB per cell. Its energy above the most stable polymorph in this dataset is 0.000 eV per atom. The calculation puts the raw total energy at -5.2297 eV per atom.


No. 13
Here is a relaxed structure of SbPd5Pb4 from Alexandria. Energies are from PBE.

```
SbPd5Pb4
1.0
5.306 -4.554 0.000
5.306 4.554 0.000
-2.554 0.000 4.542
Sb Pd Pb
1 5 4
direct
0.000 0.000 0.000
0.004 0.383 0.401
0.383 0.004 0.401
0.616 0.996 0.013
0.996 0.616 0.013
0.999 0.999 0.498
0.301 0.301 0.941
0.303 0.696 0.638
0.696 0.303 0.638
0.698 0.698 0.339
```

Output
For the total moment, the calculation gives 0.00 μB per cell. The calculation puts the raw total energy at -4.7433 eV per atom.


No. 14
Here is a relaxed structure of Sb2Pd9Pb from Alexandria. Energies are from PBE.

```
Sb2Pd9Pb
1.0
4.084 0.000 0.000
0.000 4.084 0.000
0.000 0.000 12.153
Sb Pd Pb
2 9 1
direct
0.000 0.000 0.166
0.000 0.000 0.834
0.000 0.500 0.000
0.000 0.500 0.327
0.000 0.500 0.673
0.500 0.000 0.000
0.500 0.000 0.327
0.500 0.000 0.673
0.500 0.500 0.163
0.500 0.500 0.500
0.500 0.500 0.837
0.000 0.000 0.500
```

Output
For the total moment, the calculation gives 0.00 μB per cell. The calculation puts the raw total energy at -5.2326 eV per atom.


No. 15
Here is a relaxed structure of SbPd3Pb3 from Alexandria. Energies are from PBE.

```
SbPd3Pb3
1.0
4.657 -4.969 0.000
4.657 4.969 0.000
-1.107 0.000 7.199
Sb Pd Pb
2 6 6
direct
0.249 0.249 0.436
0.751 0.751 0.564
0.062 0.447 0.186
0.447 0.062 0.186
0.491 0.491 0.698
0.509 0.509 0.302
0.553 0.938 0.814
0.938 0.553 0.814
0.186 0.186 0.870
0.229 0.771 0.500
0.314 0.686 0.000
0.686 0.314 0.000
0.771 0.229 0.500
0.814 0.814 0.130
```

Output
For the total moment, the calculation gives 0.00 μB per cell. The calculation puts the raw total energy at -4.6216 eV per atom.


No. 16
Here is a relaxed structure of SbPd6Pb from Alexandria. Energies are from PBE.

```
SbPd6Pb
1.0
5.774 0.000 0.000
-2.887 5.000 0.000
0.000 0.000 4.701
Sb Pd Pb
1 6 1
direct
0.000 0.000 0.000
0.332 0.166 0.500
0.503 0.006 0.000
0.503 0.497 0.000
0.834 0.166 0.500
0.834 0.668 0.500
0.994 0.497 0.000
0.333 0.667 0.500
```

Output
For the total moment, the calculation gives 0.00 μB per cell. Its energy above the most stable polymorph in this dataset is 0.000 eV per atom. The calculation puts the raw total energy at -5.1789 eV per atom.


No. 17
Here is a relaxed structure of Sb3Pd12Pb from Alexandria. Energies are from PBE.

```
Sb3Pd12Pb
1.0
4.081 0.000 0.000
0.000 4.081 0.000
0.000 0.000 16.187
Sb Pd Pb
3 12 1
direct
0.000 0.000 0.000
0.000 0.000 0.249
0.000 0.000 0.751
0.000 0.500 0.124
0.000 0.500 0.371
0.000 0.500 0.629
0.000 0.500 0.876
0.500 0.000 0.124
0.500 0.000 0.371
0.500 0.000 0.629
0.500 0.000 0.876
0.500 0.500 0.000
0.500 0.500 0.247
0.500 0.500 0.500
0.500 0.500 0.753
0.000 0.000 0.500
```

Output
For the total moment, the calculation gives 0.00 μB per cell. The calculation puts the raw total energy at -5.2445 eV per atom.


No. 18
Here is a relaxed structure of Sb2PdPb from Alexandria. Energies are from PBE.

```
Sb2PdPb
1.0
2.125 1.227 6.958
-2.125 1.227 6.958
0.000 -2.454 6.958
Sb Pd Pb
2 1 1
direct
0.000 0.000 0.000
0.217 0.217 0.217
0.610 0.610 0.610
0.768 0.768 0.768
```

Output
For the total moment, the calculation gives 0.00 μB per cell. The calculation puts the raw total energy at -4.4510 eV per atom.


No. 19
Here is a relaxed structure of Sb2Pd3Pb3 from Alexandria. Energies are from PBE.

```
Sb2Pd3Pb3
1.0
2.000 -6.531 0.000
2.000 6.531 0.000
0.000 0.000 14.812
Sb Pd Pb
4 6 6
direct
0.229 0.771 0.584
0.229 0.771 0.916
0.771 0.229 0.084
0.771 0.229 0.416
0.304 0.696 0.750
0.396 0.604 0.028
0.396 0.604 0.472
0.604 0.396 0.528
0.604 0.396 0.972
0.696 0.304 0.250
0.042 0.958 0.117
0.042 0.958 0.383
0.364 0.636 0.250
0.636 0.364 0.750
0.958 0.042 0.617
0.958 0.042 0.883
```

Output
For the total moment, the calculation gives 0.00 μB per cell. The calculation puts the raw total energy at -4.6029 eV per atom.


No. 20
Here is a relaxed structure of SbPd9Pb2 from Alexandria. Energies are from PBE.

```
SbPd9Pb2
1.0
4.095 0.000 0.000
0.000 4.095 0.000
0.000 0.000 12.235
Sb Pd Pb
1 9 2
direct
0.000 0.000 0.000
0.000 0.500 0.161
0.000 0.500 0.500
0.000 0.500 0.839
0.500 0.000 0.161
0.500 0.000 0.500
0.500 0.000 0.839
0.500 0.500 0.000
0.500 0.500 0.331
0.500 0.500 0.669
0.000 0.000 0.332
0.000 0.000 0.668
```

Output
For the total moment, the calculation gives 0.00 μB per cell. The calculation puts the raw total energy at -5.1775 eV per atom.